Record 1
## TlZn3Te (PBE-GGA)

Data for crystalline TlZn3Te at its relaxed geometry.

a = 5.389 Å, b = 5.389 Å, c = 5.389 Å
α = 90.00°, β = 90.00°, γ = 90.00°
Fractional coordinates of all 5 atoms:
Tl 0.000 0.000 0.000
Zn 0.000 0.500 0.500
Zn 0.500 0.000 0.500
Zn 0.500 0.500 0.000
Te 0.500 0.500 0.500

Its relative energy among the computed polymorphs is 0.0 meV/atom. The uncorrected formation energy comes out at 0.47 eV per atom. As for the crystal system: cubic. Its space group is No. 221.

---

Record 2
## K3Li2In9 (PBE-GGA)

Data for crystalline K3Li2In9 at its relaxed geometry.

a = 9.490 Å, b = 9.490 Å, c = 9.490 Å
α = 149.33°, β = 109.11°, γ = 79.19°
Fractional coordinates of all 14 atoms:
K 0.000 0.000 0.000
K 0.301 0.301 0.000
K 0.699 0.699 0.000
Li 0.309 0.500 0.809
Li 0.691 0.500 0.191
In 0.022 0.665 0.357
In 0.153 0.871 0.282
In 0.308 0.665 0.643
In 0.410 0.129 0.282
In 0.500 0.000 0.500
In 0.590 0.871 0.718
In 0.692 0.335 0.357
In 0.847 0.129 0.718
In 0.978 0.335 0.643

As for the formation enthalpy at 0 K: -158 meV per atom. As for the crystal system: orthorhombic. Its space group is No. 71.